(1)
# Co2AgW, optimized geometry, DFT GGA-PBE
data_Co2AgW
_symmetry_space_group_name_H-M 'P 1'
_symmetry_Int_Tables_number 1
_cell_length_a 2.7508
_cell_length_b 2.7508
_cell_length_c 7.2735
_cell_angle_alpha 90.00
_cell_angle_beta 90.00
_cell_angle_gamma 90.00
loop_
_symmetry_equiv_pos_as_xyz
'x,y,z'
loop_
_atom_site_label
_atom_site_fract_x
_atom_site_fract_y
_atom_site_fract_z
Co1 0.0000 0.0000 0.2313
Co2 0.0000 0.0000 0.7687
Ag1 0.5000 0.5000 0.5000
W1 0.5000 0.5000 0.0000
# E: -7.22 eV/atom
# ΔE_f: 0.2868 eV per atom
# Relative energy among the computed polymorphs: 0.016 eV per atom

(2)
# CoAgW3, optimized geometry, DFT GGA-PBE
data_CoAgW3
_symmetry_space_group_name_H-M 'P 1'
_symmetry_Int_Tables_number 1
_cell_length_a 4.7294
_cell_length_b 4.7294
_cell_length_c 4.7294
_cell_angle_alpha 90.00
_cell_angle_beta 90.00
_cell_angle_gamma 90.00
loop_
_symmetry_equiv_pos_as_xyz
'x,y,z'
loop_
_atom_site_label
_atom_site_fract_x
_atom_site_fract_y
_atom_site_fract_z
Co1 0.0000 0.0000 0.0000
Ag1 0.5000 0.5000 0.5000
W1 0.0000 0.5000 0.5000
W2 0.5000 0.0000 0.5000
W3 0.5000 0.5000 0.0000
# E: -6.51 eV/atom
# ΔE_f: 3.2500 eV per atom
# Relative energy among the computed polymorphs: 1.793 eV per atom

(3)
# CoAgW2, optimized geometry, DFT GGA-PBE
data_CoAgW2
_symmetry_space_group_name_H-M 'P 1'
_symmetry_Int_Tables_number 1
_cell_length_a 2.7056
_cell_length_b 2.7056
_cell_length_c 8.1663
_cell_angle_alpha 90.00
_cell_angle_beta 90.00
_cell_angle_gamma 91.31
loop_
_symmetry_equiv_pos_as_xyz
'x,y,z'
loop_
_atom_site_label
_atom_site_fract_x
_atom_site_fract_y
_atom_site_fract_z
Co1 0.0000 0.0000 0.0000
Ag1 0.0000 0.0000 0.5000
W1 0.5000 0.5000 0.2200
W2 0.5000 0.5000 0.7800
# E: -8.56 eV/atom
# ΔE_f: 0.4014 eV per atom
# Relative energy among the computed polymorphs: 0.058 eV per atom

(4)
# CoAgW4, optimized geometry, DFT GGA-PBE
data_CoAgW4
_symmetry_space_group_name_H-M 'P 1'
_symmetry_Int_Tables_number 1
_cell_length_a 5.2403
_cell_length_b 5.2403
_cell_length_c 5.2403
_cell_angle_alpha 60.00
_cell_angle_beta 60.00
_cell_angle_gamma 60.00
loop_
_symmetry_equiv_pos_as_xyz
'x,y,z'
loop_
_atom_site_label
_atom_site_fract_x
_atom_site_fract_y
_atom_site_fract_z
Co1 0.0000 0.0000 0.0000
Ag1 0.7500 0.7500 0.7500
W1 0.3753 0.3753 0.3753
W2 0.3753 0.3753 0.8741
W3 0.3753 0.8741 0.3753
W4 0.8741 0.3753 0.3753
# E: -9.49 eV/atom
# ΔE_f: 0.8025 eV per atom

Among the records above, which one has the highest ΔE_f? CoAgW3

E of number 2 (CoAgW3)? -6.51 eV/atom

Which value of ΔE_f does entry 3 give? 0.4014 eV per atom